Material: Li4InSb2
Method: DFT, PBE
State: optimized geometry

**D(E_F)**: 0.556 states/eV per atom
**Spin magnetization**: 0.00 Bohr magnetons per cell
**E above lowest polymorph**: 407 meV/atom

Cell: 4.884 4.884 14.619 Å, 90.00 90.00 90.00°
Space group I4/mmm (No. 139)
Inequivalent atoms, fractional coordinates:
Li 0.000 0.000 0.192 [4 per cell]
Li 0.000 0.500 0.000 [4 per cell]
In 0.000 0.000 0.000 [2 per cell]
Sb 0.000 0.000 0.386 [4 per cell]

***

Material: LiInSb2
Method: DFT, PBE
State: optimized geometry

**E**: -39.9 eV per cell
**D(E_F)**: 0.290 states/eV per atom
**Spin magnetization**: 0.00 Bohr magnetons per cell

Cell: 4.5246 4.5246 17.5945 Å, 90.00 90.00 120.00°
Space group R3m (No. 160, hexagonal axes)
Inequivalent atoms, fractional coordinates:
Li 0.0000 0.0000 0.0000 [3 per cell]
In 0.0000 0.0000 0.1685 [3 per cell]
Sb 0.0000 0.0000 0.4055 [3 per cell]
Sb 0.0000 0.0000 0.5988 [3 per cell]

***

Material: LiInSb2
Method: DFT, PBE
State: optimized geometry

**E**: -39.4 eV per cell
**D(E_F)**: 0.437 states/eV per atom
**Spin magnetization**: 0.00 Bohr magnetons per cell

Cell: 3.4227 3.4227 29.7519 Å, 90.00 90.00 120.00°
Space group R-3m (No. 166, hexagonal axes)
Inequivalent atoms, fractional coordinates:
Li 0.0000 0.0000 0.0000 [3 per cell]
In 0.0000 0.0000 0.5000 [3 per cell]
Sb 0.0000 0.0000 0.2582 [6 per cell]

***

Material: LiInSb2
Method: DFT, PBE
State: optimized geometry

**E**: -51.7 eV per cell
**D(E_F)**: 0.552 states/eV per atom
**Spin magnetization**: 0.00 Bohr magnetons per cell

Cell: 7.440 7.440 7.440 Å, 90.00 90.00 90.00°
Space group F-43m (No. 216)
Inequivalent atoms, fractional coordinates:
Li 0.000 0.000 0.000 [4 per cell]
In 0.250 0.250 0.750 [4 per cell]
Sb 0.000 0.000 0.500 [4 per cell]
Sb 0.250 0.250 0.250 [4 per cell]

***

Material: LiInSb2
Method: DFT, PBE
State: optimized geometry

**E**: -26.7 eV per cell
**D(E_F)**: 0.461 states/eV per atom
**Spin magnetization**: 0.00 Bohr magnetons per cell

Cell: 4.685 4.685 9.266 Å, 90.00 90.00 90.00°
Space group I4/mmm (No. 139)
Inequivalent atoms, fractional coordinates:
Li 0.000 0.000 0.000 [2 per cell]
In 0.000 0.000 0.500 [2 per cell]
Sb 0.000 0.500 0.250 [4 per cell]

***

Material: LiInSb2
Method: DFT, PBE
State: optimized geometry

**E**: -13.3 eV per cell
**D(E_F)**: 0.336 states/eV per atom
**Spin magnetization**: 0.00 Bohr magnetons per cell

Cell: 3.342 5.626 5.476 Å, 90.00 90.11 90.00°
Space group Pm (No. 6)
Inequivalent atoms, fractional coordinates:
Li 0.000 0.000 0.000 [1 per cell]
In 0.991 0.500 0.319 [1 per cell]
Sb 0.495 0.500 0.817 [1 per cell]
Sb 0.496 0.000 0.519 [1 per cell]

***

Material: LiInSb2
Method: DFT, PBE
State: optimized geometry

**E**: -27.0 eV per cell
**D(E_F)**: 0.514 states/eV per atom
**Spin magnetization**: 0.00 Bohr magnetons per cell

Cell: 4.449 4.582 9.845 Å, 90.00 90.00 90.00°
Space group Cmmm (No. 65)
Inequivalent atoms, fractional coordinates:
Li 0.000 0.000 0.000 [2 per cell]
In 0.000 0.000 0.500 [2 per cell]
Sb 0.000 0.500 0.213 [4 per cell]

***

Material: Li4InSb2
Method: DFT, PBE
State: optimized geometry

**D(E_F)**: 0.192 states/eV per atom
**Spin magnetization**: 0.00 Bohr magnetons per cell
**E above lowest polymorph**: 0 meV/atom

Cell: 4.7330 4.7330 23.3916 Å, 90.00 90.00 120.00°
Space group R-3m (No. 166, hexagonal axes)
Inequivalent atoms, fractional coordinates:
Li 0.0000 0.0000 0.1177 [6 per cell]
Li 0.0000 0.0000 0.3704 [6 per cell]
In 0.0000 0.0000 0.5000 [3 per cell]
Sb 0.0000 0.0000 0.2494 [6 per cell]

***

Look up the spin magnetization of the fifth one. 0.00 Bohr magnetons per cell

***

Look up the spin magnetization of the eighth one. 0.00 Bohr magnetons per cell

***

Look up the D(E_F) of the seventh one. 0.514 states/eV per atom